1.
# GGA-PBE Tm2AlCoNi, relaxed
# **Final energy**: -5.588 eV/atom
# **Size of the total moment**: 0.0 μB/cell
data_Tm2AlCoNi
_chemical_formula_sum 'Tm2 Al1 Co1 Ni1'
_symmetry_space_group_name_H-M 'P 1'
_symmetry_Int_Tables_number 1
_cell_length_a 5.303
_cell_length_b 5.303
_cell_length_c 5.303
_cell_angle_alpha 135.05
_cell_angle_beta 79.10
_cell_angle_gamma 118.77
loop_
_symmetry_equiv_pos_as_xyz
'x,y,z'
loop_
_atom_site_label
_atom_site_type_symbol
_atom_site_fract_x
_atom_site_fract_y
_atom_site_fract_z
Al1 Al 0.005 0.005 0.000
Co1 Co 0.271 0.771 0.500
Ni1 Ni 0.731 0.231 0.500
Tm1 Tm 0.698 0.496 0.202
Tm2 Tm 0.295 0.496 0.798


2.
# GGA-PBE PrMgAuO3, relaxed
# **Final energy**: -5.272 eV/atom
# **Size of the total moment**: 0.0 μB/cell
data_PrMgAuO3
_chemical_formula_sum 'Pr2 Mg2 Au2 O6'
_symmetry_space_group_name_H-M 'P 1'
_symmetry_Int_Tables_number 1
_cell_length_a 3.460
_cell_length_b 7.792
_cell_length_c 8.291
_cell_angle_alpha 90.00
_cell_angle_beta 77.96
_cell_angle_gamma 90.00
loop_
_symmetry_equiv_pos_as_xyz
'x,y,z'
loop_
_atom_site_label
_atom_site_type_symbol
_atom_site_fract_x
_atom_site_fract_y
_atom_site_fract_z
Au1 Au 0.407 0.250 0.186
Au2 Au 0.593 0.750 0.814
Mg1 Mg 0.765 0.750 0.470
Mg2 Mg 0.235 0.250 0.530
O1 O 0.879 0.654 0.243
O2 O 0.879 0.846 0.243
O3 O 0.792 0.250 0.416
O4 O 0.208 0.750 0.584
O5 O 0.121 0.154 0.757
O6 O 0.121 0.346 0.757
Pr1 Pr 0.000 0.000 0.000
Pr2 Pr 0.000 0.500 0.000


3.
# GGA-PBE CuSnPtW, relaxed
# **Final energy**: -6.301 eV/atom
# **Offset from the most stable computed form**: 0.0631 eV per atom
# **Size of the total moment**: 1.8 μB/cell
data_CuSnPtW
_chemical_formula_sum 'Cu1 Sn1 Pt1 W1'
_symmetry_space_group_name_H-M 'P 1'
_symmetry_Int_Tables_number 1
_cell_length_a 4.537
_cell_length_b 4.537
_cell_length_c 4.537
_cell_angle_alpha 60.00
_cell_angle_beta 60.00
_cell_angle_gamma 60.00
loop_
_symmetry_equiv_pos_as_xyz
'x,y,z'
loop_
_atom_site_label
_atom_site_type_symbol
_atom_site_fract_x
_atom_site_fract_y
_atom_site_fract_z
Cu1 Cu 0.750 0.750 0.750
Pt1 Pt 0.250 0.250 0.250
Sn1 Sn 0.000 0.000 0.000
W1 W 0.500 0.500 0.500


4.
# GGA-PBE Zr3TaGa2, relaxed
# **Final energy**: -7.657 eV/atom
# **Size of the total moment**: 0.0 μB/cell
data_Zr3TaGa2
_chemical_formula_sum 'Zr3 Ta1 Ga2'
_symmetry_space_group_name_H-M 'P 1'
_symmetry_Int_Tables_number 1
_cell_length_a 6.618
_cell_length_b 5.423
_cell_length_c 5.350
_cell_angle_alpha 75.80
_cell_angle_beta 52.60
_cell_angle_gamma 51.60
loop_
_symmetry_equiv_pos_as_xyz
'x,y,z'
loop_
_atom_site_label
_atom_site_type_symbol
_atom_site_fract_x
_atom_site_fract_y
_atom_site_fract_z
Ga1 Ga 0.252 0.252 0.248
Ga2 Ga 0.752 0.752 0.748
Ta1 Ta 0.345 0.345 0.655
Zr1 Zr 0.153 0.845 0.155
Zr2 Zr 0.653 0.653 0.347
Zr3 Zr 0.845 0.153 0.847


5.
# GGA-PBE Cs2Tm4Cu4Te9, relaxed
# **Final energy**: -4.238 eV/atom
# **Size of the total moment**: 0.0 μB/cell
data_Cs2Tm4Cu4Te9
_chemical_formula_sum 'Cs2 Tm4 Cu4 Te9'
_symmetry_space_group_name_H-M 'P 1'
_symmetry_Int_Tables_number 1
_cell_length_a 8.092
_cell_length_b 8.092
_cell_length_c 17.695
_cell_angle_alpha 107.57
_cell_angle_beta 107.57
_cell_angle_gamma 31.37
loop_
_symmetry_equiv_pos_as_xyz
'x,y,z'
loop_
_atom_site_label
_atom_site_type_symbol
_atom_site_fract_x
_atom_site_fract_y
_atom_site_fract_z
Cs1 Cs 0.466 0.466 0.227
Cs2 Cs 0.534 0.534 0.773
Cu1 Cu 0.750 0.750 0.235
Cu2 Cu 0.073 0.073 0.471
Cu3 Cu 0.927 0.927 0.529
Cu4 Cu 0.250 0.250 0.765
Te1 Te 0.500 0.500 0.000
Te2 Te 0.793 0.793 0.099
Te3 Te 0.156 0.156 0.226
Te4 Te 0.896 0.896 0.374
Te5 Te 0.639 0.639 0.423
Te6 Te 0.361 0.361 0.577
Te7 Te 0.104 0.104 0.626
Te8 Te 0.844 0.844 0.774
Te9 Te 0.207 0.207 0.901
Tm1 Tm 0.153 0.153 0.056
Tm2 Tm 0.271 0.271 0.400
Tm3 Tm 0.729 0.729 0.600
Tm4 Tm 0.847 0.847 0.944


6.
# GGA-PBE TbYPd2, relaxed
# **Final energy**: -6.277 eV/atom
# **Size of the total moment**: 0.0 μB/cell
# **Formation energy**: -916.2 meV per atom
data_TbYPd2
_chemical_formula_sum 'Tb1 Y1 Pd2'
_symmetry_space_group_name_H-M 'P 1'
_symmetry_Int_Tables_number 1
_cell_length_a 4.567
_cell_length_b 5.600
_cell_length_c 5.600
_cell_angle_alpha 38.92
_cell_angle_beta 90.00
_cell_angle_gamma 90.00
loop_
_symmetry_equiv_pos_as_xyz
'x,y,z'
loop_
_atom_site_label
_atom_site_type_symbol
_atom_site_fract_x
_atom_site_fract_y
_atom_site_fract_z
Pd1 Pd 0.000 0.087 0.087
Pd2 Pd 0.500 0.914 0.914
Tb1 Tb 0.500 0.637 0.637
Y1 Y 0.000 0.362 0.362